A geometry-optimized ReSnSeBr2 structure, computed with PBE.

Computed properties:
energy relative to the lowest polymorph listed for this composition: 0 meV per atom
M_tot: 0.52 μB/cell
energy relative to the elements, uncorrected: 0.418 eV/atom
crystal system: tetragonal

a = 5.267 Å, b = 5.267 Å, c = 4.740 Å
α = 90.00°, β = 90.00°, γ = 90.00°
Sites, in units of the cell vectors:
Re  0.000  0.000  0.000
Sn  0.500  0.500  0.500
Se  0.000  0.000  0.500
Br  0.000  0.500  0.000
Br  0.500  0.000  0.000


A geometry-optimized ReSnSe2Br structure, computed with PBE.

Computed properties:
energy relative to the lowest polymorph listed for this composition: 0 meV per atom
M_tot: 0.00 μB/cell
energy relative to the elements, uncorrected: 0.346 eV/atom
crystal system: tetragonal

a = 4.867 Å, b = 4.867 Å, c = 5.314 Å
α = 90.00°, β = 90.00°, γ = 90.00°
Sites, in units of the cell vectors:
Re  0.000  0.000  0.000
Sn  0.500  0.500  0.500
Se  0.000  0.500  0.000
Se  0.500  0.000  0.000
Br  0.000  0.000  0.500


A geometry-optimized SrReSe2Br structure, computed with PBE.

Computed properties:
energy relative to the lowest polymorph listed for this composition: 0 meV per atom
M_tot: 0.96 μB/cell
energy relative to the elements, uncorrected: -0.405 eV/atom
crystal system: tetragonal

a = 4.921 Å, b = 4.921 Å, c = 5.387 Å
α = 90.00°, β = 90.00°, γ = 90.00°
Sites, in units of the cell vectors:
Sr  0.000  0.000  0.000
Re  0.500  0.500  0.500
Se  0.000  0.500  0.500
Se  0.500  0.000  0.500
Br  0.500  0.500  0.000


A geometry-optimized SrReSe2Br structure, computed with PBE.

Computed properties:
energy relative to the lowest polymorph listed for this composition: 1298 meV per atom
M_tot: 3.98 μB/cell
energy relative to the elements, uncorrected: 0.893 eV/atom
crystal system: tetragonal

a = 5.859 Å, b = 5.859 Å, c = 5.692 Å
α = 90.00°, β = 90.00°, γ = 90.00°
Sites, in units of the cell vectors:
Sr  0.000  0.000  0.000
Re  0.500  0.500  0.500
Se  0.000  0.500  0.000
Se  0.500  0.000  0.000
Br  0.000  0.000  0.500


A geometry-optimized TaReSeBr2 structure, computed with PBE.

Computed properties:
energy relative to the lowest polymorph listed for this composition: 297 meV per atom
M_tot: 3.21 μB/cell
energy relative to the elements, uncorrected: 1.372 eV/atom
crystal system: tetragonal

a = 5.149 Å, b = 5.149 Å, c = 4.716 Å
α = 90.00°, β = 90.00°, γ = 90.00°
Sites, in units of the cell vectors:
Ta  0.000  0.000  0.000
Re  0.500  0.500  0.500
Se  0.500  0.500  0.000
Br  0.000  0.500  0.500
Br  0.500  0.000  0.500


A geometry-optimized TaReSeBr2 structure, computed with PBE.

Computed properties:
energy relative to the lowest polymorph listed for this composition: 0 meV per atom
M_tot: 5.15 μB/cell
energy relative to the elements, uncorrected: 1.076 eV/atom
crystal system: tetragonal

a = 5.197 Å, b = 5.197 Å, c = 5.039 Å
α = 90.00°, β = 90.00°, γ = 90.00°
Sites, in units of the cell vectors:
Ta  0.000  0.000  0.000
Re  0.500  0.500  0.500
Se  0.000  0.000  0.500
Br  0.000  0.500  0.000
Br  0.500  0.000  0.000


A geometry-optimized ReTeSe2Br structure, computed with PBE.

Computed properties:
energy relative to the lowest polymorph listed for this composition: 0 meV per atom
M_tot: 0.00 μB/cell
energy relative to the elements, uncorrected: 0.478 eV/atom
crystal system: tetragonal

a = 4.868 Å, b = 4.868 Å, c = 5.140 Å
α = 90.00°, β = 90.00°, γ = 90.00°
Sites, in units of the cell vectors:
Re  0.000  0.000  0.000
Te  0.500  0.500  0.500
Se  0.000  0.500  0.000
Se  0.500  0.000  0.000
Br  0.000  0.000  0.500


A geometry-optimized ReTeSeBr2 structure, computed with PBE.

Computed properties:
energy relative to the lowest polymorph listed for this composition: 0 meV per atom
M_tot: 0.21 μB/cell
energy relative to the elements, uncorrected: 0.554 eV/atom
crystal system: tetragonal

a = 5.097 Å, b = 5.097 Å, c = 4.849 Å
α = 90.00°, β = 90.00°, γ = 90.00°
Sites, in units of the cell vectors:
Re  0.000  0.000  0.000
Te  0.500  0.500  0.500
Se  0.000  0.000  0.500
Br  0.000  0.500  0.000
Br  0.500  0.000  0.000